Computed, not measured: a geometry-optimized PmBiN2O structure at the PBE level of DFT.

For the electronic total energy, the calculation gives -66.52 eV for the cell shown. As for the total moment: 0.00 μB per cell. As for the space group: P1.

a b c (Å): 5.806 5.915 6.155
angles (deg): 61.93 63.30 60.61
Fractional positions:
Pm 0.000 0.000 0.000
Pm 0.272 0.268 0.203
Bi 0.500 0.463 0.547
Bi 0.781 0.787 0.658
N 0.176 0.610 0.375
N 0.415 0.082 0.845
N 0.656 0.428 0.836
N 0.860 0.178 0.359
O 0.072 0.659 0.870
O 0.602 0.858 0.350